*a*
# AlInNi3 | the Alexandria database | PBE-GGA | optimized geometry
data_AlInNi3
_chemical_formula_sum 'Al1 In1 Ni3'
_symmetry_space_group_name_H-M 'P 1'
_symmetry_Int_Tables_number 1
_cell_length_a 4.301
_cell_length_b 4.301
_cell_length_c 4.301
_cell_angle_alpha 90.00
_cell_angle_beta 90.00
_cell_angle_gamma 90.00
loop_
_symmetry_equiv_pos_as_xyz
'x,y,z'
loop_
_atom_site_label
_atom_site_type_symbol
_atom_site_fract_x
_atom_site_fract_y
_atom_site_fract_z
Ni1 Ni 0.000 0.500 0.000
Ni2 Ni 0.000 0.000 0.500
Ni3 Ni 0.500 0.000 0.000
Al1 Al 0.000 0.000 0.000
In1 In 0.500 0.500 0.500
# SG ... No. 221
# Volume ... 15.91 Å³ per atom

*b*
# AlInNi3 | the Alexandria database | PBE-GGA | optimized geometry
data_AlInNi3
_chemical_formula_sum 'Al1 In1 Ni3'
_symmetry_space_group_name_H-M 'P 1'
_symmetry_Int_Tables_number 1
_cell_length_a 4.603
_cell_length_b 4.603
_cell_length_c 4.603
_cell_angle_alpha 90.00
_cell_angle_beta 90.00
_cell_angle_gamma 90.00
loop_
_symmetry_equiv_pos_as_xyz
'x,y,z'
loop_
_atom_site_label
_atom_site_type_symbol
_atom_site_fract_x
_atom_site_fract_y
_atom_site_fract_z
Ni1 Ni 0.000 0.500 0.000
Ni2 Ni 0.000 0.000 0.500
Ni3 Ni 0.500 0.000 0.000
Al1 Al 0.500 0.500 0.500
In1 In 0.000 0.000 0.000
# SG ... No. 221
# Volume ... 19.51 Å³ per atom

Least stable: *b*

*a*
# Al2InO4 | the Alexandria database | PBE-GGA | optimized geometry
data_Al2InO4
_chemical_formula_sum 'Al2 In1 O4'
_symmetry_space_group_name_H-M 'P 1'
_symmetry_Int_Tables_number 1
_cell_length_a 4.308
_cell_length_b 4.308
_cell_length_c 5.320
_cell_angle_alpha 90.00
_cell_angle_beta 90.00
_cell_angle_gamma 90.00
loop_
_symmetry_equiv_pos_as_xyz
'x,y,z'
loop_
_atom_site_label
_atom_site_type_symbol
_atom_site_fract_x
_atom_site_fract_y
_atom_site_fract_z
Al1 Al 0.500 0.000 0.500
Al2 Al 0.000 0.500 0.500
In1 In 0.000 0.000 0.000
O1 O 0.751 0.249 0.681
O2 O 0.249 0.249 0.319
O3 O 0.249 0.751 0.681
O4 O 0.751 0.751 0.319
# SG ... No. 111
# Volume ... 14.11 Å³ per atom

*b*
# Al2InO4 | the Alexandria database | PBE-GGA | optimized geometry
data_Al2InO4
_chemical_formula_sum 'Al4 In2 O8'
_symmetry_space_group_name_H-M 'P 1'
_symmetry_Int_Tables_number 1
_cell_length_a 7.413
_cell_length_b 6.205
_cell_length_c 6.206
_cell_angle_alpha 69.10
_cell_angle_beta 53.32
_cell_angle_gamma 53.32
loop_
_symmetry_equiv_pos_as_xyz
'x,y,z'
loop_
_atom_site_label
_atom_site_type_symbol
_atom_site_fract_x
_atom_site_fract_y
_atom_site_fract_z
Al1 Al 0.468 0.657 0.157
Al2 Al 0.282 0.343 0.843
Al3 Al 0.875 0.843 0.657
Al4 Al 0.375 0.157 0.343
In1 In 0.750 0.500 0.500
In2 In 0.000 0.000 0.000
O1 O 0.227 0.199 0.695
O2 O 0.628 0.196 0.699
O3 O 0.122 0.801 0.305
O4 O 0.574 0.304 0.199
O5 O 0.078 0.696 0.801
O6 O 0.523 0.804 0.301
O7 O 0.176 0.301 0.195
O8 O 0.672 0.699 0.805
# SG ... No. 122
# Volume ... 13.11 Å³ per atom

Least stable: *a*

*a*
# Al2InO | the Alexandria database | PBE-GGA | optimized geometry
data_Al2InO
_chemical_formula_sum 'Al4 In2 O2'
_symmetry_space_group_name_H-M 'P 1'
_symmetry_Int_Tables_number 1
_cell_length_a 5.052
_cell_length_b 5.052
_cell_length_c 6.666
_cell_angle_alpha 67.73
_cell_angle_beta 67.73
_cell_angle_gamma 90.00
loop_
_symmetry_equiv_pos_as_xyz
'x,y,z'
loop_
_atom_site_label
_atom_site_type_symbol
_atom_site_fract_x
_atom_site_fract_y
_atom_site_fract_z
Al1 Al 0.460 0.125 0.250
Al2 Al 0.290 0.625 0.250
Al3 Al 0.375 0.540 0.750
Al4 Al 0.875 0.710 0.750
O1 O 0.500 0.500 0.000
O2 O 0.250 0.750 0.500
In1 In 0.000 0.000 0.000
In2 In 0.750 0.250 0.500
# SG ... No. 122
# Volume ... 17.96 Å³ per atom

*b*
# Al2InO | the Alexandria database | PBE-GGA | optimized geometry
data_Al2InO
_chemical_formula_sum 'Al2 In1 O1'
_symmetry_space_group_name_H-M 'P 1'
_symmetry_Int_Tables_number 1
_cell_length_a 4.575
_cell_length_b 4.575
_cell_length_c 4.575
_cell_angle_alpha 60.00
_cell_angle_beta 60.00
_cell_angle_gamma 60.00
loop_
_symmetry_equiv_pos_as_xyz
'x,y,z'
loop_
_atom_site_label
_atom_site_type_symbol
_atom_site_fract_x
_atom_site_fract_y
_atom_site_fract_z
Al1 Al 0.250 0.250 0.250
Al2 Al 0.750 0.750 0.750
O1 O 0.000 0.000 0.000
In1 In 0.500 0.500 0.500
# SG ... No. 225
# Volume ... 16.93 Å³ per atom

Least stable: *b*